Ca2Pu4Bi3N2 after structural relaxation. Source: the Alexandria database, functional PBE-GGA.

The space group is I4/mmm (No. 139) and the conventional cell measures 4.693, 4.693 and 26.417 Å, with angles of 90.00, 90.00 and 90.00 degrees. The asymmetric unit holds Ca at (0.000, 0.000, 0.195), Pu at (0.000, 0.500, 0.088), Bi at (0.000, 0.000, 0.321), Bi at (0.000, 0.000, 0.500) and N at (0.000, 0.000, 0.101).

The density comes out at 9.77 g cm⁻³. The calculation puts the total DFT energy (no corrections) at -8.9541 eV per atom. For the total moment, the calculation gives 21.0 μB/f.u.